A plane-wave DFT calculation with PBE-GGA was carried out for a relaxed structure of KBaAlSe3.

Unit cell a=6.7758 b=6.7758 c=9.9408 alpha=106.45 beta=106.45 gamma=73.50
Fractional coordinates of all 12 atoms:
K (0.2107, 0.7893, 0.0000)
K (0.7893, 0.2107, 0.0000)
Ba (0.1868, 0.1868, 0.6581)
Ba (0.8132, 0.8132, 0.3419)
Al (0.4488, 0.4488, 0.2504)
Al (0.5512, 0.5512, 0.7496)
Se (0.1925, 0.6813, 0.6599)
Se (0.2818, 0.2818, 0.0282)
Se (0.3187, 0.8075, 0.3401)
Se (0.6813, 0.1925, 0.6599)
Se (0.7182, 0.7182, 0.9718)
Se (0.8075, 0.3187, 0.3401)

Uncorrected formation energy ... -1.24 eV per atom
Total energy ... -4.1080 eV/atom
Space group ... No. 12

---

A plane-wave DFT calculation with PBE-GGA was carried out for a relaxed structure of Nd2SmDy2.

Unit cell a=7.9421 b=7.9421 c=6.4016 alpha=100.46 beta=100.46 gamma=113.84
Fractional coordinates of all 10 atoms:
Nd (0.1149, 0.2390, 0.4185)
Nd (0.2390, 0.1149, 0.9185)
Nd (0.7610, 0.8851, 0.0815)
Nd (0.8851, 0.7610, 0.5815)
Sm (0.4302, 0.5698, 0.2500)
Sm (0.5698, 0.4302, 0.7500)
Dy (0.1802, 0.8198, 0.2500)
Dy (0.3021, 0.6979, 0.7500)
Dy (0.6979, 0.3021, 0.2500)
Dy (0.8198, 0.1802, 0.7500)

Total energy ... -4.4215 eV/atom
Formation enthalpy at 0 K ... 270 meV per atom
Space group ... No. 15

---

A plane-wave DFT calculation with PBE-GGA was carried out for a relaxed structure of LaSb2W.

Unit cell a=5.0939 b=5.0939 c=5.0939 alpha=60.00 beta=60.00 gamma=60.00
Fractional coordinates of all 4 atoms:
La (0.0000, 0.0000, 0.0000)
Sb (0.2500, 0.2500, 0.2500)
Sb (0.7500, 0.7500, 0.7500)
W (0.5000, 0.5000, 0.5000)

Uncorrected formation energy ... 0.03 eV per atom
Total energy ... -6.5045 eV/atom
Space group ... No. 225

---

A plane-wave DFT calculation with PBE-GGA was carried out for a relaxed structure of Sc2RuPt2.

Unit cell a=7.0386 b=7.0386 c=3.6301 alpha=90.00 beta=90.00 gamma=90.00
Fractional coordinates of all 10 atoms:
Sc (0.1735, 0.3265, 0.0000)
Sc (0.3265, 0.8265, 0.0000)
Sc (0.6735, 0.1735, 0.0000)
Sc (0.8265, 0.6735, 0.0000)
Ru (0.0000, 0.0000, 0.5000)
Ru (0.5000, 0.5000, 0.5000)
Pt (0.1329, 0.6329, 0.5000)
Pt (0.3671, 0.1329, 0.5000)
Pt (0.6329, 0.8671, 0.5000)
Pt (0.8671, 0.3671, 0.5000)

Total energy ... -7.5432 eV/atom
Formation enthalpy at 0 K ... -739 meV per atom
Space group ... No. 127

---

A plane-wave DFT calculation with PBE-GGA was carried out for a relaxed structure of LiAcMg2.

Unit cell a=6.0200 b=6.0200 c=3.6546 alpha=90.00 beta=90.00 gamma=119.01
Fractional coordinates of all 4 atoms:
Li (0.0000, 0.0000, 0.0000)
Ac (0.5000, 0.5000, 0.0000)
Mg (0.2010, 0.7990, 0.5000)
Mg (0.7990, 0.2010, 0.5000)

Total energy ... -2.1215 eV/atom
Formation enthalpy at 0 K ... 181 meV per atom
Space group ... No. 65

---

A plane-wave DFT calculation with PBE-GGA was carried out for a relaxed structure of Pm2UIn3Te6.

Unit cell a=7.7253 b=7.7253 c=8.5700 alpha=98.64 beta=98.64 gamma=119.99
Fractional coordinates of all 12 atoms:
Pm (0.1666, 0.8334, 0.0000)
Pm (0.8334, 0.1666, 0.0000)
U (0.5000, 0.5000, 0.0000)
In (0.0000, 0.0000, 0.5000)
In (0.3326, 0.6674, 0.5000)
In (0.6674, 0.3326, 0.5000)
Te (0.0957, 0.4254, 0.7757)
Te (0.2458, 0.2458, 0.2255)
Te (0.4254, 0.0957, 0.7757)
Te (0.5746, 0.9043, 0.2243)
Te (0.7542, 0.7542, 0.7745)
Te (0.9043, 0.5746, 0.2243)

Uncorrected formation energy ... -0.80 eV per atom
Total energy ... -4.7879 eV/atom
Space group ... No. 12